A plane-wave DFT calculation with PBE-GGA was carried out for a relaxed structure of Pm2ThInN4.

Structure (POSCAR):
```
Pm2ThInN4
1.0
6.1450 0.0000 0.0000
0.0000 3.5822 0.0000
-2.1826 0.0000 5.8630
Pm Th In N
2 1 1 4
Direct
0.0000 0.0000 0.0000
0.5000 0.5000 0.0000
0.0000 0.5000 0.5000
0.5000 0.0000 0.5000
0.2387 0.0000 0.7483
0.2552 0.5000 0.2628
0.7448 0.5000 0.7372
0.7613 0.0000 0.2517
```

## Properties
Size of the total moment = 0.000 μB/atom
Formation energy without anion corrections = -8.0 eV per formula unit
Space group = P2/m